A relaxed Ce3Sn3Pd2 crystal, computed with PBE-GGA.

Cell: 6.0689 8.4616 15.6389 Å, 90.00 90.00 90.00°
Last column: magnetic moment on the atom in μB.
Sites, in units of the cell vectors:
Ce (0.1193, 0.4662, 0.3918)  0.68
Ce (0.1347, 0.1711, 0.7500)  0.60
Ce (0.6347, 0.3289, 0.2500)  0.60
Ce (0.6193, 0.0338, 0.8918)  0.68
Ce (0.3653, 0.6711, 0.7500)  0.60
Ce (0.8653, 0.8289, 0.2500)  0.60
Ce (0.3807, 0.9662, 0.1082)  0.68
Ce (0.1193, 0.4662, 0.1082)  0.68
Ce (0.6193, 0.0338, 0.6082)  0.68
Ce (0.8807, 0.5338, 0.8918)  0.68
Ce (0.3807, 0.9662, 0.3918)  0.68
Ce (0.8807, 0.5338, 0.6082)  0.68
Pd (0.3791, 0.4041, 0.8877)  -0.02
Pd (0.6209, 0.5959, 0.1123)  -0.02
Pd (0.8791, 0.0959, 0.3877)  -0.02
Pd (0.8791, 0.0959, 0.1123)  -0.02
Pd (0.6209, 0.5959, 0.3877)  -0.02
Pd (0.1209, 0.9041, 0.6123)  -0.02
Pd (0.3791, 0.4041, 0.6123)  -0.02
Pd (0.1209, 0.9041, 0.8877)  -0.02
Sn (0.3661, 0.6832, 0.2500)  -0.02
Sn (0.6339, 0.3168, 0.7500)  -0.02
Sn (0.1033, 0.1920, 0.5382)  -0.01
Sn (0.8967, 0.8080, 0.4618)  -0.01
Sn (0.6033, 0.3080, 0.0382)  -0.01
Sn (0.8967, 0.8080, 0.0382)  -0.01
Sn (0.1033, 0.1920, 0.9618)  -0.01
Sn (0.3967, 0.6920, 0.9618)  -0.01
Sn (0.1339, 0.1832, 0.2500)  -0.02
Sn (0.3967, 0.6920, 0.5382)  -0.01
Sn (0.8661, 0.8168, 0.7500)  -0.02
Sn (0.6033, 0.3080, 0.4618)  -0.01

## Properties
* density of states at the Fermi level: 17.51 states/eV/f.u.
* E_form: -733 meV/atom
* SG: Pnma, No. 62
* DFT total energy: -5.76 eV per atom